This record from Alexandria via LeMat-Bulk describes a relaxed Na2Cd2Ge crystal. The functional is GGA-PBE.

Summary:
* total moment: 0.000 μB per formula unit
* energy above the lowest structure with this stoichiometry: 0.000 eV/atom
* formation energy from the elements: -8.0 kJ per mole of atoms
* electronic total energy: -1.8997 eV per atom
* Fermi-level density of states: 2.17 states/eV per cell

a b c (Å): 6.0971 6.0971 7.9372
angles (deg): 105.77 105.77 61.75
Element x y z (fractional)
Na1 0.0444 0.2672 0.1373
Na2 0.2672 0.0444 0.6373
Na3 0.7328 0.9556 0.3627
Na4 0.9556 0.7328 0.8627
Cd1 0.2474 0.5046 0.5216
Cd2 0.4954 0.7526 0.9784
Cd3 0.5046 0.2474 0.0216
Cd4 0.7526 0.4954 0.4784
Ge1 0.2916 0.7084 0.2500
Ge2 0.7084 0.2916 0.7500

=====

This record from Alexandria via LeMat-Bulk describes a relaxed Na2Cd2Ge3 crystal. The functional is GGA-PBE.

Summary:
* total moment: 0.000 μB per formula unit
* formation energy from the elements: -0.7 kJ per mole of atoms
* electronic total energy: -2.6245 eV per atom
* Fermi-level density of states: 5.34 states/eV per cell

a b c (Å): 11.9593 4.5008 6.9714
angles (deg): 90.00 118.73 90.00
Element x y z (fractional)
Na1 0.1454 0.0000 0.2902
Na2 0.3546 0.5000 0.7098
Na3 0.6454 0.5000 0.2902
Na4 0.8546 0.0000 0.7098
Cd1 0.1553 0.0000 0.7716
Cd2 0.3447 0.5000 0.2284
Cd3 0.6553 0.5000 0.7716
Cd4 0.8447 0.0000 0.2284
Ge1 0.0000 0.5000 0.5000
Ge2 0.0837 0.5000 0.9420
Ge3 0.4163 0.0000 0.0580
Ge4 0.5000 0.0000 0.5000
Ge5 0.5837 0.0000 0.9420
Ge6 0.9163 0.5000 0.0580